Density functional theory data (GGA-PBE) for a geometry-optimized ZrAlTc3 structure. Values from VASP.

Properties
* space-group type: Pm-3m, No. 221
* uncorrected energy: -34.3 eV/f.u.
* energy of formation: 42.13 kcal/mol of atoms

The structure in Quantum ESPRESSO input format:
```
&SYSTEM
  ibrav = 0, nat = 5, ntyp = 3
/
ATOMIC_SPECIES
Tc 98.00 Tc.upf
Zr 91.22 Zr.upf
Al 26.98 Al.upf
CELL_PARAMETERS angstrom
4.773 0.000 0.000
0.000 4.773 0.000
0.000 0.000 4.773
ATOMIC_POSITIONS crystal
Tc 0.000 0.500 0.000
Tc 0.000 0.000 0.500
Tc 0.500 0.000 0.000
Zr 0.000 0.000 0.000
Al 0.500 0.500 0.500
```